## ReP2Pb (PBE-GGA)

Data for a relaxed structure of ReP2Pb.

Computed properties:
symmetry: No. 44
calculated formation energy: 0.1239 eV/atom
spin magnetization: 0.00 μB/atom

POSCAR file:
```
ReP2Pb
1.0
8.2895 0.0058 -0.0009
7.1092 4.2633 0.0009
-7.6760 -2.2188 2.2073
Pb P Re
1 2 1
Direct
0.4383 0.4383 0.0000
0.7707 0.2707 0.5000
0.0883 0.0883 0.0000
0.2028 0.7028 0.5000
```